Here is an optimized crystal structure of TlGe2RuPb from the Alexandria database. Energies are from PBE. Values from VASP.

Cell and atoms, written as Quantum ESPRESSO input:
```
&SYSTEM
  ibrav = 0, nat = 5, ntyp = 4
/
ATOMIC_SPECIES
Pb 207.20 Pb.upf
Ru 101.07 Ru.upf
Tl 204.38 Tl.upf
Ge 72.64 Ge.upf
CELL_PARAMETERS angstrom
-1.9029 -0.2386 -4.3898
2.6041 -4.6781 -0.8745
-3.7470 -2.4139 1.7555
ATOMIC_POSITIONS crystal
Pb 0.5000 0.5000 0.5000
Ru 0.0000 0.0000 0.0000
Tl 0.0000 0.5000 0.0000
Ge 0.0000 0.0000 0.5000
Ge 0.5000 0.0000 0.0000
```

Computed properties:
**Calculated density**: 8.8 g cm⁻³
**N(E_F)**: 0.864 states/eV/atom
**Space-group type**: No. 123
**Energy of formation**: 24 kJ/mol of atoms